1.
The following is a PBE-GGA calculation of a geometry-optimized GdPuGePb structure, from Alexandria.

Output
- E_form (eV per atom) = -0.32
- density of states at the Fermi level (states/eV/cell) = 45.7
- calculated volume (Å³ per atom) = 26.1
- electronic total energy (eV for the cell shown) = -152.06
- total magnetic moment (μB/f.u.) = 13.03

a b c (Å): 7.4766 7.4766 7.4766
angles (deg): 90.00 90.00 90.00
Fractional coordinates of all 16 atoms:
Gd 0.0000 0.0000 0.0000
Gd 0.0000 0.5000 0.5000
Gd 0.5000 0.0000 0.5000
Gd 0.5000 0.5000 0.0000
Pu 0.0000 0.0000 0.5000
Pu 0.0000 0.5000 0.0000
Pu 0.5000 0.0000 0.0000
Pu 0.5000 0.5000 0.5000
Ge 0.2500 0.2500 0.7500
Ge 0.2500 0.7500 0.2500
Ge 0.7500 0.2500 0.2500
Ge 0.7500 0.7500 0.7500
Pb 0.2500 0.2500 0.2500
Pb 0.2500 0.7500 0.7500
Pb 0.7500 0.2500 0.7500
Pb 0.7500 0.7500 0.2500

2.
The following is a PBE-GGA calculation of a geometry-optimized SbPb2Cl structure, from Alexandria.

Output
- density of states at the Fermi level (states/eV/cell) = 1.2
- calculated volume (Å³ per atom) = 29.2
- electronic total energy (eV for the cell shown) = -14.68
- total magnetic moment (μB/f.u.) = 0.00
- relative energy among the computed polymorphs (eV/atom) = 0.100

a b c (Å): 3.7050 3.9738 7.9291
angles (deg): 90.00 90.00 90.00
Fractional coordinates of all 4 atoms:
Sb 0.0000 0.0000 0.0000
Pb 0.5000 0.5000 0.2415
Pb 0.5000 0.5000 0.7585
Cl 0.0000 0.0000 0.5000

3.
The following is a PBE-GGA calculation of a geometry-optimized PrMgH6Pt2 structure, from Alexandria.

Output
- density of states at the Fermi level (states/eV/cell) = 1.7
- calculated volume (Å³ per atom) = 10.1
- electronic total energy (eV for the cell shown) = -43.21
- total magnetic moment (μB/f.u.) = 0.00

a b c (Å): 6.1456 6.1456 6.1456
angles (deg): 43.88 43.88 43.88
Fractional coordinates of all 10 atoms:
Pr 0.0000 0.0000 0.0000
Mg 0.5000 0.5000 0.5000
H 0.0748 0.5591 0.5591
H 0.4409 0.4409 0.9252
H 0.4409 0.9252 0.4409
H 0.5591 0.0748 0.5591
H 0.5591 0.5591 0.0748
H 0.9252 0.4409 0.4409
Pt 0.2106 0.2106 0.2106
Pt 0.7894 0.7894 0.7894